First-principles (PBE) data for a relaxed TbPmPr2Tm5 crystal, as listed in Alexandria via LeMat-Bulk.

DOS at the Fermi energy   39.25 states/eV per cell
DFT formation energy   262 meV per atom
Density   8.2 g/cm³

Structure (CIF):
```
data_TbPmPr2Tm5
_cell_length_a 8.6672
_cell_length_b 8.6672
_cell_length_c 15.4895
_cell_angle_alpha 90.00
_cell_angle_beta 90.00
_cell_angle_gamma 90.00
_space_group_name_H-M_alt 'I 4/m c m'
_space_group_IT_number 140
_space_group_name_Hall '-I 4 2c'
loop_
_atom_site_label
_atom_site_fract_x
_atom_site_fract_y
_atom_site_fract_z
Tb1 0.0000 0.5000 0.2500
Pm1 0.0000 0.0000 0.2500
Pr1 0.1176 0.3824 0.0000
Tm1 0.0000 0.0000 0.0000
Tm2 0.2115 0.2885 0.3607
```

***

First-principles (PBE) data for a relaxed Tb2Pm3Pr6Tm crystal, as listed in Alexandria via LeMat-Bulk.

DOS at the Fermi energy   30.87 states/eV per cell
DFT formation energy   13 meV per atom
Density   7.1 g/cm³

Structure (CIF):
```
data_Tb2Pm3Pr6Tm
_cell_length_a 6.3476
_cell_length_b 10.9978
_cell_length_c 12.0249
_cell_angle_alpha 90.00
_cell_angle_beta 100.12
_cell_angle_gamma 90.00
_space_group_name_H-M_alt 'C 1 2/m 1'
_space_group_IT_number 12
loop_
_space_group_symop_operation_xyz
'x,y,z'
'-x,-y,-z'
'-x,y,-z'
'x,-y,z'
'x+1/2,y+1/2,z'
'-x+1/2,-y+1/2,-z'
'-x+1/2,y+1/2,-z'
'x+1/2,-y+1/2,z'
loop_
_atom_site_label
_atom_site_fract_x
_atom_site_fract_y
_atom_site_fract_z
Tb1 0.0000 0.1667 0.0000
Pm1 0.0000 0.0000 0.5000
Pm2 0.0000 0.3334 0.5000
Pr1 0.2490 0.3336 0.2466
Pr2 0.2499 0.0000 0.2469
Tm1 0.0000 0.5000 0.0000
```

***

First-principles (PBE) data for a relaxed TbPm6PrY2 crystal, as listed in Alexandria via LeMat-Bulk.

DOS at the Fermi energy   60.33 states/eV per cell
DFT formation energy   119 meV per atom
Density   6.5 g/cm³

Structure (CIF):
```
data_TbPm6PrY2
_cell_length_a 9.3591
_cell_length_b 15.2921
_cell_length_c 9.6692
_cell_angle_alpha 90.00
_cell_angle_beta 96.97
_cell_angle_gamma 90.00
_space_group_name_H-M_alt 'C 1 2/c 1'
_space_group_IT_number 15
loop_
_space_group_symop_operation_xyz
'x,y,z'
'-x,-y,-z'
'-x,y,-z+1/2'
'x,-y,z+1/2'
'x+1/2,y+1/2,z'
'-x+1/2,-y+1/2,-z'
'-x+1/2,y+1/2,-z+1/2'
'x+1/2,-y+1/2,z+1/2'
loop_
_atom_site_label
_atom_site_fract_x
_atom_site_fract_y
_atom_site_fract_z
Tb1 0.0000 0.0330 0.2500
Pm1 0.0646 0.1753 0.9430
Pm2 0.0950 0.3894 0.1184
Pm3 0.2095 0.2261 0.3169
Pr1 0.0000 0.4065 0.7500
Y1 0.2454 0.0477 0.5480
```

***

First-principles (PBE) data for a relaxed Tb2Pm6PrY crystal, as listed in Alexandria via LeMat-Bulk.

DOS at the Fermi energy   59.89 states/eV per cell
DFT formation energy   115 meV per atom
Density   6.9 g/cm³

Structure (CIF):
```
data_Tb2Pm6PrY
_cell_length_a 9.2138
_cell_length_b 15.3792
_cell_length_c 9.7892
_cell_angle_alpha 90.00
_cell_angle_beta 98.14
_cell_angle_gamma 90.00
_space_group_name_H-M_alt 'C 1 2/c 1'
_space_group_IT_number 15
loop_
_space_group_symop_operation_xyz
'x,y,z'
'-x,-y,-z'
'-x,y,-z+1/2'
'x,-y,z+1/2'
'x+1/2,y+1/2,z'
'-x+1/2,-y+1/2,-z'
'-x+1/2,y+1/2,-z+1/2'
'x+1/2,-y+1/2,z+1/2'
loop_
_atom_site_label
_atom_site_fract_x
_atom_site_fract_y
_atom_site_fract_z
Tb1 0.2446 0.0508 0.0438
Pm1 0.0634 0.1807 0.4453
Pm2 0.1023 0.3945 0.6210
Pm3 0.2042 0.2260 0.8162
Pr1 0.0000 0.4063 0.2500
Y1 0.0000 0.0256 0.7500
```

***

First-principles (PBE) data for a relaxed TbPm2Pr6Y crystal, as listed in Alexandria via LeMat-Bulk.

DOS at the Fermi energy   59.59 states/eV per cell
DFT formation energy   110 meV per atom
Density   6.5 g/cm³

Structure (CIF):
```
data_TbPm2Pr6Y
_cell_length_a 9.2879
_cell_length_b 15.5461
_cell_length_c 9.9146
_cell_angle_alpha 90.00
_cell_angle_beta 98.60
_cell_angle_gamma 90.00
_space_group_name_H-M_alt 'C 1 2/c 1'
_space_group_IT_number 15
loop_
_space_group_symop_operation_xyz
'x,y,z'
'-x,-y,-z'
'-x,y,-z+1/2'
'x,-y,z+1/2'
'x+1/2,y+1/2,z'
'-x+1/2,-y+1/2,-z'
'-x+1/2,y+1/2,-z+1/2'
'x+1/2,-y+1/2,z+1/2'
loop_
_atom_site_label
_atom_site_fract_x
_atom_site_fract_y
_atom_site_fract_z
Tb1 0.0000 0.0225 0.2500
Pm1 0.2458 0.0491 0.5428
Pr1 0.0629 0.1811 0.9461
Pr2 0.1022 0.3949 0.1198
Pr3 0.2075 0.2221 0.3123
Y1 0.0000 0.4085 0.7500
```

***

First-principles (PBE) data for a relaxed Tb2PmPr2Y4 crystal, as listed in Alexandria via LeMat-Bulk.

DOS at the Fermi energy   25.51 states/eV per cell
DFT formation energy   -5 meV per atom
Density   6.1 g/cm³

Structure (CIF):
```
data_Tb2PmPr2Y4
_cell_length_a 18.8998
_cell_length_b 3.6416
_cell_length_c 9.6704
_cell_angle_alpha 90.00
_cell_angle_beta 115.72
_cell_angle_gamma 90.00
_space_group_name_H-M_alt 'C 1 2/m 1'
_space_group_IT_number 12
loop_
_space_group_symop_operation_xyz
'x,y,z'
'-x,-y,-z'
'-x,y,-z'
'x,-y,z'
'x+1/2,y+1/2,z'
'-x+1/2,-y+1/2,-z'
'-x+1/2,y+1/2,-z'
'x+1/2,-y+1/2,z'
loop_
_atom_site_label
_atom_site_fract_x
_atom_site_fract_y
_atom_site_fract_z
Tb1 0.1476 0.0000 0.1631
Pm1 0.0000 0.0000 0.5000
Pr1 0.1661 0.5000 0.4985
Y1 0.0195 0.5000 0.8363
Y2 0.1859 0.0000 0.8361
```

***

First-principles (PBE) data for a relaxed Tb2PmPrY crystal, as listed in Alexandria via LeMat-Bulk.

DOS at the Fermi energy   34.10 states/eV per cell
DFT formation energy   373 meV per atom
Density   6.5 g/cm³

Structure (CIF):
```
data_Tb2PmPrY
_cell_length_a 8.4363
_cell_length_b 11.6878
_cell_length_c 7.2081
_cell_angle_alpha 90.00
_cell_angle_beta 90.00
_cell_angle_gamma 90.00
_space_group_name_H-M_alt 'C m c m'
_space_group_IT_number 63
_space_group_name_Hall '-C 2c 2'
loop_
_atom_site_label
_atom_site_fract_x
_atom_site_fract_y
_atom_site_fract_z
Tb1 0.1879 0.0000 0.0000
Pm1 0.0000 0.4875 0.2500
Pr1 0.0000 0.2230 0.2500
Y1 0.0000 0.2301 0.7500
```

***

First-principles (PBE) data for a relaxed Tb2Pm5PrY crystal, as listed in Alexandria via LeMat-Bulk.

DOS at the Fermi energy   57.19 states/eV per cell
DFT formation energy   146 meV per atom
Density   6.8 g/cm³

Structure (CIF):
```
data_Tb2Pm5PrY
_cell_length_a 5.7162
_cell_length_b 20.2927
_cell_length_c 10.7092
_cell_angle_alpha 90.00
_cell_angle_beta 90.00
_cell_angle_gamma 90.00
_space_group_name_H-M_alt 'C m c 21'
_space_group_IT_number 36
loop_
_space_group_symop_operation_xyz
'x,y,z'
'-x,-y,z+1/2'
'-x,y,z'
'x,-y,z+1/2'
'x+1/2,y+1/2,z'
'-x+1/2,-y+1/2,z+1/2'
'-x+1/2,y+1/2,z'
'x+1/2,-y+1/2,z+1/2'
loop_
_atom_site_label
_atom_site_fract_x
_atom_site_fract_y
_atom_site_fract_z
Tb1 0.0000 0.1134 0.0000
Tb2 0.0000 0.1162 0.5870
Pm1 0.0000 0.0171 0.2890
Pm2 0.0000 0.2807 0.5799
Pm3 0.0000 0.2976 0.9753
Pm4 0.0000 0.3873 0.2898
Pm5 0.0000 0.4796 0.0076
Pr1 0.0000 0.4136 0.7210
Y1 0.0000 0.2002 0.2785
```

***

First-principles (PBE) data for a relaxed Tb2Pm2PrY4 crystal, as listed in Alexandria via LeMat-Bulk.

DOS at the Fermi energy   25.14 states/eV per cell
DFT formation energy   -5 meV per atom
Density   6.2 g/cm³

Structure (CIF):
```
data_Tb2Pm2PrY4
_cell_length_a 18.8626
_cell_length_b 3.6345
_cell_length_c 9.6518
_cell_angle_alpha 90.00
_cell_angle_beta 115.73
_cell_angle_gamma 90.00
_space_group_name_H-M_alt 'C 1 2/m 1'
_space_group_IT_number 12
loop_
_space_group_symop_operation_xyz
'x,y,z'
'-x,-y,-z'
'-x,y,-z'
'x,-y,z'
'x+1/2,y+1/2,z'
'-x+1/2,-y+1/2,-z'
'-x+1/2,y+1/2,-z'
'x+1/2,-y+1/2,z'
loop_
_atom_site_label
_atom_site_fract_x
_atom_site_fract_y
_atom_site_fract_z
Tb1 0.1480 0.0000 0.1648
Pm1 0.1671 0.5000 0.4994
Pr1 0.0000 0.0000 0.5000
Y1 0.0194 0.5000 0.8370
Y2 0.1862 0.0000 0.8359
```

***

First-principles (PBE) data for a relaxed Tb2Pm2PrY crystal, as listed in Alexandria via LeMat-Bulk.

DOS at the Fermi energy   18.15 states/eV per cell
DFT formation energy   56 meV per atom
Density   7.0 g/cm³

Structure (CIF):
```
data_Tb2Pm2PrY
_cell_length_a 7.0847
_cell_length_b 9.9163
_cell_length_c 5.6960
_cell_angle_alpha 90.00
_cell_angle_beta 90.00
_cell_angle_gamma 90.00
_space_group_name_H-M_alt 'P n n m'
_space_group_IT_number 58
loop_
_space_group_symop_operation_xyz
'x,y,z'
'-x,-y,-z'
'-x,-y,z'
'x,y,-z'
'x+1/2,-y+1/2,-z+1/2'
'-x+1/2,y+1/2,z+1/2'
'-x+1/2,y+1/2,-z+1/2'
'x+1/2,-y+1/2,z+1/2'
loop_
_atom_site_label
_atom_site_fract_x
_atom_site_fract_y
_atom_site_fract_z
Tb1 0.2491 0.1668 0.0000
Pm1 0.2485 0.8333 0.0000
Pr1 0.0000 0.5000 0.0000
Y1 0.0000 0.0000 0.5000
```

***

First-principles (PBE) data for a relaxed Tb2PmPr2Y6 crystal, as listed in Alexandria via LeMat-Bulk.

DOS at the Fermi energy   36.53 states/eV per cell
DFT formation energy   148 meV per atom
Density   5.7 g/cm³

Structure (CIF):
```
data_Tb2PmPr2Y6
_cell_length_a 5.7237
_cell_length_b 12.1255
_cell_length_c 10.7134
_cell_angle_alpha 90.00
_cell_angle_beta 90.08
_cell_angle_gamma 90.00
_space_group_name_H-M_alt 'C 1 2/m 1'
_space_group_IT_number 12
loop_
_space_group_symop_operation_xyz
'x,y,z'
'-x,-y,-z'
'-x,y,-z'
'x,-y,z'
'x+1/2,y+1/2,z'
'-x+1/2,-y+1/2,-z'
'-x+1/2,y+1/2,-z'
'x+1/2,-y+1/2,z'
loop_
_atom_site_label
_atom_site_fract_x
_atom_site_fract_y
_atom_site_fract_z
Tb1 0.0000 0.2050 0.0000
Pm1 0.0000 0.5000 0.0000
Pr1 0.0000 0.1343 0.5000
Y1 0.0012 0.0000 0.7935
Y2 0.0011 0.3471 0.7106
```

***

First-principles (PBE) data for a relaxed TbPm4Pr2Y2 crystal, as listed in Alexandria via LeMat-Bulk.

DOS at the Fermi energy   23.83 states/eV per cell
DFT formation energy   3 meV per atom
Density   6.5 g/cm³

Structure (CIF):
```
data_TbPm4Pr2Y2
_cell_length_a 19.0292
_cell_length_b 3.6750
_cell_length_c 9.7569
_cell_angle_alpha 90.00
_cell_angle_beta 115.69
_cell_angle_gamma 90.00
_space_group_name_H-M_alt 'C 1 2/m 1'
_space_group_IT_number 12
loop_
_space_group_symop_operation_xyz
'x,y,z'
'-x,-y,-z'
'-x,y,-z'
'x,-y,z'
'x+1/2,y+1/2,z'
'-x+1/2,-y+1/2,-z'
'-x+1/2,y+1/2,-z'
'x+1/2,-y+1/2,z'
loop_
_atom_site_label
_atom_site_fract_x
_atom_site_fract_y
_atom_site_fract_z
Tb1 0.0000 0.0000 0.0000
Pm1 0.0185 0.5000 0.3336
Pm2 0.1856 0.0000 0.3341
Pr1 0.1656 0.5000 0.9994
Y1 0.1471 0.0000 0.6653
```

***

First-principles (PBE) data for a relaxed TbPm2PrY crystal, as listed in Alexandria via LeMat-Bulk.

DOS at the Fermi energy   29.39 states/eV per cell
DFT formation energy   375 meV per atom
Density   6.2 g/cm³

Structure (CIF):
```
data_TbPm2PrY
_cell_length_a 8.4455
_cell_length_b 11.7818
_cell_length_c 7.2604
_cell_angle_alpha 90.00
_cell_angle_beta 90.00
_cell_angle_gamma 90.00
_space_group_name_H-M_alt 'C m c m'
_space_group_IT_number 63
_space_group_name_Hall '-C 2c 2'
loop_
_atom_site_label
_atom_site_fract_x
_atom_site_fract_y
_atom_site_fract_z
Tb1 0.0000 0.0178 0.2500
Pm1 0.1915 0.5000 0.0000
Pr1 0.0000 0.2805 0.2500
Y1 0.0000 0.2609 0.7500
```

***

First-principles (PBE) data for a relaxed TbPmPrY3 crystal, as listed in Alexandria via LeMat-Bulk.

DOS at the Fermi energy   35.92 states/eV per cell
DFT formation energy   20 meV per atom
Density   5.9 g/cm³

Structure (CIF):
```
data_TbPmPrY3
_cell_length_a 5.1026
_cell_length_b 15.3042
_cell_length_c 10.2078
_cell_angle_alpha 90.00
_cell_angle_beta 90.00
_cell_angle_gamma 90.00
_space_group_name_H-M_alt 'C m c m'
_space_group_IT_number 63
_space_group_name_Hall '-C 2c 2'
loop_
_atom_site_label
_atom_site_fract_x
_atom_site_fract_y
_atom_site_fract_z
Tb1 0.0000 0.1674 0.2500
Pm1 0.0000 0.4994 0.7500
Pr1 0.0000 0.0000 0.0000
Y1 0.0000 0.1677 0.7500
Y2 0.0000 0.3322 0.9998
```

***

First-principles (PBE) data for a relaxed TbPm2PrY2 crystal, as listed in Alexandria via LeMat-Bulk.

DOS at the Fermi energy   18.99 states/eV per cell
DFT formation energy   252 meV per atom
Density   6.2 g/cm³

Structure (CIF):
```
data_TbPm2PrY2
_cell_length_a 6.6705
_cell_length_b 17.9143
_cell_length_c 3.4334
_cell_angle_alpha 90.00
_cell_angle_beta 90.00
_cell_angle_gamma 90.00
_space_group_name_H-M_alt 'P n n m'
_space_group_IT_number 58
loop_
_space_group_symop_operation_xyz
'x,y,z'
'-x,-y,-z'
'-x,-y,z'
'x,y,-z'
'x+1/2,-y+1/2,-z+1/2'
'-x+1/2,y+1/2,z+1/2'
'-x+1/2,y+1/2,-z+1/2'
'x+1/2,-y+1/2,z+1/2'
loop_
_atom_site_label
_atom_site_fract_x
_atom_site_fract_y
_atom_site_fract_z
Tb1 0.0000 0.0000 0.0000
Pm1 0.2235 0.1497 0.5000
Pr1 0.0000 0.5000 0.0000
Y1 0.2273 0.3181 0.0000
```

***

First-principles (PBE) data for a relaxed TbPm2Pr5Y crystal, as listed in Alexandria via LeMat-Bulk.

DOS at the Fermi energy   60.25 states/eV per cell
DFT formation energy   276 meV per atom
Density   6.5 g/cm³

Structure (CIF):
```
data_TbPm2Pr5Y
_cell_length_a 8.7519
_cell_length_b 8.7519
_cell_length_c 16.6765
_cell_angle_alpha 90.00
_cell_angle_beta 90.00
_cell_angle_gamma 90.00
_space_group_name_H-M_alt 'I 4/m c m'
_space_group_IT_number 140
_space_group_name_Hall '-I 4 2c'
loop_
_atom_site_label
_atom_site_fract_x
_atom_site_fract_y
_atom_site_fract_z
Tb1 0.0000 0.0000 0.2500
Pm1 0.1202 0.3798 0.0000
Pr1 0.0000 0.0000 0.0000
Pr2 0.2160 0.2840 0.3577
Y1 0.0000 0.5000 0.2500
```

***

First-principles (PBE) data for a relaxed TbPmPr6Y2 crystal, as listed in Alexandria via LeMat-Bulk.

DOS at the Fermi energy   61.33 states/eV per cell
DFT formation energy   114 meV per atom
Density   6.3 g/cm³

Structure (CIF):
```
data_TbPmPr6Y2
_cell_length_a 9.4349
_cell_length_b 15.4389
_cell_length_c 9.7371
_cell_angle_alpha 90.00
_cell_angle_beta 97.16
_cell_angle_gamma 90.00
_space_group_name_H-M_alt 'C 1 2/c 1'
_space_group_IT_number 15
loop_
_space_group_symop_operation_xyz
'x,y,z'
'-x,-y,-z'
'-x,y,-z+1/2'
'x,-y,z+1/2'
'x+1/2,y+1/2,z'
'-x+1/2,-y+1/2,-z'
'-x+1/2,y+1/2,-z+1/2'
'x+1/2,-y+1/2,z+1/2'
loop_
_atom_site_label
_atom_site_fract_x
_atom_site_fract_y
_atom_site_fract_z
Tb1 0.0000 0.0320 0.2500
Pm1 0.0000 0.4088 0.7500
Pr1 0.0634 0.1743 0.9433
Pr2 0.0948 0.3898 0.1177
Pr3 0.2126 0.2232 0.3134
Y1 0.2452 0.0467 0.5484
```

***

First-principles (PBE) data for a relaxed TbPm6Pr3Y2 crystal, as listed in Alexandria via LeMat-Bulk.

DOS at the Fermi energy   35.01 states/eV per cell
DFT formation energy   15 meV per atom
Density   6.6 g/cm³

Structure (CIF):
```
data_TbPm6Pr3Y2
_cell_length_a 6.3254
_cell_length_b 10.9571
_cell_length_c 12.0804
_cell_angle_alpha 90.00
_cell_angle_beta 100.06
_cell_angle_gamma 90.00
_space_group_name_H-M_alt 'C 1 2/m 1'
_space_group_IT_number 12
loop_
_space_group_symop_operation_xyz
'x,y,z'
'-x,-y,-z'
'-x,y,-z'
'x,-y,z'
'x+1/2,y+1/2,z'
'-x+1/2,-y+1/2,-z'
'-x+1/2,y+1/2,-z'
'x+1/2,-y+1/2,z'
loop_
_atom_site_label
_atom_site_fract_x
_atom_site_fract_y
_atom_site_fract_z
Tb1 0.0000 0.0000 0.0000
Pm1 0.2485 0.1663 0.2458
Pm2 0.2494 0.5000 0.2459
Pr1 0.0000 0.1668 0.5000
Pr2 0.0000 0.5000 0.5000
Y1 0.0000 0.3334 0.0000
```

***

First-principles (PBE) data for a relaxed Tb2Pm3PrY6 crystal, as listed in Alexandria via LeMat-Bulk.

DOS at the Fermi energy   30.82 states/eV per cell
DFT formation energy   13 meV per atom
Density   6.0 g/cm³

Structure (CIF):
```
data_Tb2Pm3PrY6
_cell_length_a 6.2454
_cell_length_b 10.8120
_cell_length_c 11.8814
_cell_angle_alpha 90.00
_cell_angle_beta 100.05
_cell_angle_gamma 90.00
_space_group_name_H-M_alt 'C 1 2/m 1'
_space_group_IT_number 12
loop_
_space_group_symop_operation_xyz
'x,y,z'
'-x,-y,-z'
'-x,y,-z'
'x,-y,z'
'x+1/2,y+1/2,z'
'-x+1/2,-y+1/2,-z'
'-x+1/2,y+1/2,-z'
'x+1/2,-y+1/2,z'
loop_
_atom_site_label
_atom_site_fract_x
_atom_site_fract_y
_atom_site_fract_z
Tb1 0.0000 0.1667 0.0000
Pm1 0.0000 0.0000 0.5000
Pm2 0.0000 0.3332 0.5000
Pr1 0.0000 0.5000 0.0000
Y1 0.2494 0.0000 0.2492
Y2 0.2496 0.1670 0.7508
```